[1]
! PBEsol RbCr5Te8, optimized geometry; values from VASP
&SYSTEM
  ibrav = 0, nat = 14, ntyp = 3
/
ATOMIC_SPECIES
Rb 85.47 Rb.upf
Cr 52.00 Cr.upf
Te 127.60 Te.upf
ATOMIC_POSITIONS angstrom
Rb 1.969 4.712 0.002
Cr 0.000 0.000 0.000
Cr 0.000 -1.551 6.651
Cr 0.000 4.856 5.771
Cr 1.969 2.106 3.979
Cr 1.969 8.514 3.099
Te 0.000 5.767 8.342
Te 1.969 -0.397 8.020
Te 1.969 3.156 6.431
Te 1.969 6.655 5.078
Te 0.000 0.308 4.672
Te 0.000 3.806 3.320
Te 0.000 7.359 1.731
Te 1.969 1.195 1.408
CELL_PARAMETERS angstrom
3.937 0.000 0.000
0.000 9.423 0.005
-1.969 -2.461 9.746
! uncorrected formation energy = -0.25 eV per atom
! spin magnetization = 15.0 μB per cell

---

[2]
! PBEsol RbTiCr2, optimized geometry; values from VASP
&SYSTEM
  ibrav = 0, nat = 4, ntyp = 3
/
ATOMIC_SPECIES
Cr 52.00 Cr.upf
Rb 85.47 Rb.upf
Ti 47.87 Ti.upf
ATOMIC_POSITIONS angstrom
Cr 2.430 1.403 0.992
Cr 7.291 4.210 2.977
Rb 4.861 2.806 1.984
Ti 0.000 0.000 0.000
CELL_PARAMETERS angstrom
4.861 0.000 0.000
2.430 4.210 0.000
2.430 1.403 3.969
! formation energy = 1.686 eV per atom
! spin magnetization = 6.0 μB per cell

---

[3]
! PBEsol RbTl3Cr, optimized geometry; values from VASP
&SYSTEM
  ibrav = 0, nat = 5, ntyp = 3
/
ATOMIC_SPECIES
Cr 52.00 Cr.upf
Tl 204.38 Tl.upf
Rb 85.47 Rb.upf
ATOMIC_POSITIONS angstrom
Cr 0.000 0.000 0.000
Tl 0.000 2.635 0.000
Tl 0.000 0.000 2.635
Tl 2.635 0.000 0.000
Rb 2.635 2.635 2.635
CELL_PARAMETERS angstrom
5.271 0.000 0.000
0.000 5.271 0.000
0.000 0.000 5.271
! formation energy = 0.270 eV per atom
! spin magnetization = 1.7 μB per cell

---

Which of these has the lowest spin magnetization? RbTl3Cr